Record 1
A relaxed structure of CuIrBr, computed with PBE.

The structure belongs to space group F-43m (No. 216); the cell edges are 6.037, 6.037 and 6.037 Å and the angles 90.00°, 90.00° and 90.00°. The inequivalent atoms are Cu at (0.000, 0.000, 0.000), Ir at (0.250, 0.250, 0.750) and Br at (0.250, 0.250, 0.250).

For the calculated volume, the calculation gives 18.34 A^3/atom. The energy above the lowest structure with this stoichiometry is 0.5355 eV/atom. The calculation puts the total energy at -0.27026 Ry per atom.

Record 2
A relaxed structure of Zn2PbBr, computed with PBE.

The structure belongs to space group Fm-3m (No. 225); the cell edges are 7.379, 7.379 and 7.379 Å and the angles 90.00°, 90.00° and 90.00°. The inequivalent atoms are Zn at (0.250, 0.250, 0.250), Pb at (0.000, 0.000, 0.000) and Br at (0.000, 0.000, 0.500).

For the calculated volume, the calculation gives 25.12 A^3/atom. The energy above the lowest structure with this stoichiometry is 0.2936 eV/atom. The calculation puts the total energy at -0.12992 Ry per atom.

Across the entries above, DOS at the Fermi energy takes the values 5.08 3.67 states/eV/f.u., respectively.
Across the entries above, total moment takes the values 0.4 0.0 μB per formula unit, respectively.
Across the entries above, energy relative to the elements, uncorrected takes the values 1.200 0.215 eV per atom, respectively.